Run P
# YBe4

YBe4 after structural relaxation (PBE-GGA, the Alexandria database).

extended XYZ file:
```
5
Lattice="5.3155 -0.0886 0.0695 -1.6764 4.9286 -1.0796 -1.8598 -1.5042 4.7482" Properties=species:S:1:pos:R:3 pbc="T T T"
Be -0.8382 2.4643 -0.5398
Be 0.8897 1.6679 1.8691
Be 2.6577 -0.0443 0.0347
Be -0.9299 -0.7521 2.3741
Y 0.0000 0.0000 0.0000
```

Values from the calculation:
SG = Im-3m, No. 229
N(E_F) = 0.8552 states/eV per atom
calculated volume = 23.138 A^3/atom


Run Q
# YBe4

YBe4 after structural relaxation (PBE-GGA, the Alexandria database).

extended XYZ file:
```
5
Lattice="4.9809 0.0000 0.0000 0.0000 4.9809 0.0000 0.0000 0.0000 4.9809" Properties=species:S:1:pos:R:3 pbc="T T T"
Be 0.0000 2.4905 2.4905
Be 2.4905 2.4905 0.0000
Be 0.0000 0.0000 0.0000
Be 2.4905 0.0000 2.4905
Y 2.4905 2.4905 2.4905
```

Values from the calculation:
SG = Pm-3m, No. 221
N(E_F) = 0.9950 states/eV per atom
calculated volume = 24.715 A^3/atom


Run R
# YBe4

YBe4 after structural relaxation (PBE-GGA, the Alexandria database).

extended XYZ file:
```
5
Lattice="0.7237 -1.9692 4.7745 1.0926 3.3207 3.8699 -3.5352 -0.4054 -3.8125" Properties=species:S:1:pos:R:3 pbc="T T T"
Be -0.7672 1.7955 2.1898
Be -0.9517 -0.8494 2.6421
Be 1.1399 0.8482 5.4251
Be 0.6764 0.5033 3.2193
Y 0.0000 0.0000 0.0000
```

Values from the calculation:
SG = I4/mmm, No. 139
N(E_F) = 0.5822 states/eV per atom
calculated volume = 12.929 A^3/atom


Run S
# YBe4

YBe4 after structural relaxation (PBE-GGA, the Alexandria database).

extended XYZ file:
```
5
Lattice="-2.7602 2.7602 2.0542 2.7602 -2.7602 2.0542 2.7602 2.7602 -2.0542" Properties=species:S:1:pos:R:3 pbc="T T T"
Be 1.7296 0.0000 2.0542
Be 2.7602 1.0306 0.0000
Be 0.0000 1.7296 2.0542
Be 1.0306 2.7602 0.0000
Y 0.0000 0.0000 0.0000
```

Values from the calculation:
SG = I4/mmm, No. 139
N(E_F) = 0.2467 states/eV per atom
calculated volume = 12.520 A^3/atom


Of them, the most stable is run R and the least stable is run Q.


Run P
# Y4Be3

Y4Be3 after structural relaxation (PBE-GGA, the Alexandria database).

extended XYZ file:
```
7
Lattice="-1.6294 1.6294 14.4064 1.6294 -1.6294 14.4064 1.6294 1.6294 -14.4064" Properties=species:S:1:pos:R:3 pbc="T T T"
Be 0.0000 0.0000 21.1417
Be 0.0000 0.0000 0.0000
Be 0.0000 0.0000 7.6710
Y 0.0000 0.0000 24.1306
Y 0.0000 0.0000 12.6427
Y 0.0000 0.0000 16.1701
Y 0.0000 0.0000 4.6821
```

Values from the calculation:
SG = I4/mmm, No. 139
N(E_F) = 1.5113 states/eV per atom
calculated volume = 21.856 A^3/atom


Run Q
# Y4Be3

Y4Be3 after structural relaxation (PBE-GGA, the Alexandria database).

extended XYZ file:
```
7
Lattice="-2.9441 3.5367 2.5999 1.1483 -4.6445 2.2460 5.1327 2.4608 2.4646" Properties=species:S:1:pos:R:3 pbc="T T T"
Be -1.4720 1.7683 1.2999
Be 0.5742 -2.3223 1.1230
Be -0.8979 -0.5539 2.4229
Y 0.9864 2.0400 3.7142
Y 2.3505 -0.6870 3.5963
Y 3.9440 1.8909 1.8938
Y 1.1887 0.5699 0.5708
```

Values from the calculation:
SG = P6/mmm, No. 191
N(E_F) = 1.0067 states/eV per atom
calculated volume = 21.437 A^3/atom


Of them, the most stable is run P and the least stable is run Q.


Run P
# Y3Be4

Y3Be4 after structural relaxation (PBE-GGA, the Alexandria database).

extended XYZ file:
```
7
Lattice="-1.0598 6.4077 0.1216 -2.8810 -3.8521 4.3656 3.2889 0.4945 2.6068" Properties=species:S:1:pos:R:3 pbc="T T T"
Be 0.8045 0.1210 0.6377
Be 2.4844 0.3735 1.9691
Be -0.6295 -0.1849 4.2543
Be -0.0224 3.2350 2.8397
Y -0.5299 3.2039 0.0608
Y -1.9704 1.2778 2.2436
Y -1.4405 -1.9260 2.1828
```

Values from the calculation:
SG = P6/mmm, No. 191
N(E_F) = 0.6950 states/eV per atom
calculated volume = 22.060 A^3/atom


Run Q
# Y3Be4

Y3Be4 after structural relaxation (PBE-GGA, the Alexandria database).

extended XYZ file:
```
7
Lattice="-1.5448 1.5448 13.1129 1.5448 -1.5448 13.1129 1.5448 1.5448 -13.1129" Properties=species:S:1:pos:R:3 pbc="T T T"
Be 0.0000 0.0000 2.9867
Be 0.0000 0.0000 23.2392
Be 0.0000 0.0000 11.0315
Be 0.0000 0.0000 15.1944
Y 0.0000 0.0000 18.1886
Y 0.0000 0.0000 8.0372
Y 0.0000 0.0000 0.0000
```

Values from the calculation:
SG = I4/mmm, No. 139
N(E_F) = 1.0924 states/eV per atom
calculated volume = 17.882 A^3/atom


Of them, the most stable is run Q and the least stable is run P.


Run P
# Y2BeZn

Y2BeZn after structural relaxation (PBE-GGA, the Alexandria database).

extended XYZ file:
```
4
Lattice="3.4723 0.0000 0.0000 0.0000 3.4697 -0.0040 0.0000 3.4882 7.1010" Properties=species:S:1:pos:R:3 pbc="T T T"
Zn 1.7362 1.7395 1.7743
Y 0.0000 3.4868 6.9908
Y 0.0000 3.4804 3.6587
Be 1.7362 5.2184 5.3228
```

Values from the calculation:
SG = P2/m, No. 10
N(E_F) = 1.0466 states/eV per atom
calculated volume = 21.400 A^3/atom


Run Q
# Y2BeZn

Y2BeZn after structural relaxation (PBE-GGA, the Alexandria database).

extended XYZ file:
```
4
Lattice="-2.5212 7.9903 1.2796 -2.3077 6.6607 4.7062 0.7238 7.8880 3.0156" Properties=species:S:1:pos:R:3 pbc="T T T"
Y -0.0230 0.1262 0.0504
Y -2.0296 11.1433 4.4503
Zn -1.0263 5.6348 2.2504
Be -3.0788 16.9043 6.7511
```

Values from the calculation:
SG = R-3m, No. 166
N(E_F) = 1.3894 states/eV per atom
calculated volume = 24.078 A^3/atom


Run R
# Y2BeZn

Y2BeZn after structural relaxation (PBE-GGA, the Alexandria database).

extended XYZ file:
```
4
Lattice="4.5893 0.0087 -0.0034 3.1035 3.3808 -0.0034 1.4605 0.6435 6.2353" Properties=species:S:1:pos:R:3 pbc="T T T"
Y 4.5965 2.0253 3.0036
Y 7.6730 3.3808 0.1037
Be 2.2883 1.0083 1.5571
Zn 6.8650 3.0248 4.6713
```

Values from the calculation:
SG = C2/m, No. 12
N(E_F) = 1.2811 states/eV per atom
calculated volume = 24.149 A^3/atom


Of them, the most stable is run P and the least stable is run R.